A plane-wave DFT calculation with PBEsol was carried out for LiTeSe2 after structural relaxation.

Cell lengths 4.0285, 4.0300, 5.5686 Å; angles 90.00, 90.00, 90.00 degrees
Closest atoms and distances in Å follow each position.
Element x y z (fractional)
Se 0.0000 0.0000 0.1248  2 Te 2.78-2.79, 4 Li 2.85
Se 0.5000 0.5000 0.6252  2 Li 2.78-2.79, 4 Te 2.85
Te 0.0000 0.0000 0.6245  6 Se 2.78-2.85
Li 0.5000 0.5000 0.1255  6 Se 2.78-2.85

Values from the calculation:
Fermi-level density of states: 1.2 states/eV/f.u.
E_form (uncorrected): -0.4840 eV/atom
space group: P4mm, No. 99
V: 90 Å³ per cell


A plane-wave DFT calculation with PBEsol was carried out for LiTeSe2 after structural relaxation.

Cell lengths 4.8725, 4.8725, 4.8725 Å; angles 109.74, 109.74, 108.93 degrees
Closest atoms and distances in Å follow each position.
Element x y z (fractional)
Li 0.0000 0.0000 0.0000  4 Se 2.80, 2 Te 2.83
Se 0.5000 0.0000 0.5000  2 Li 2.80, 2 Te 2.80, 2 Se 2.83
Se 0.0000 0.5000 0.5000  2 Te 2.80, 2 Li 2.80, 2 Se 2.83
Te 0.5000 0.5000 0.0000  4 Se 2.80, 2 Li 2.83

Values from the calculation:
Fermi-level density of states: 1.8 states/eV/f.u.
E_form (uncorrected): -0.4322 eV/atom
space group: I4/mmm, No. 139
V: 89 Å³ per cell


A plane-wave DFT calculation with PBEsol was carried out for LiTeSe2 after structural relaxation.

Cell lengths 4.0565, 4.0600, 6.4738 Å; angles 107.91, 108.26, 90.00 degrees
Closest atoms and distances in Å follow each position.
Element x y z (fractional)
Se 0.2559 0.2567 0.5118  1 Te 2.58, 4 Li 2.86-2.88
Se 0.9979 0.9954 0.9958  1 Li 2.67, 4 Te 2.88
Te 0.4780 0.4758 0.9560  5 Se 2.58-2.88
Li 0.7682 0.7721 0.5364  5 Se 2.67-2.88

Values from the calculation:
Fermi-level density of states: 0.6 states/eV/f.u.
E_form (uncorrected): -0.4364 eV/atom
space group: Cm, No. 8
V: 96 Å³ per cell


A plane-wave DFT calculation with PBEsol was carried out for Li2TeSe after structural relaxation.

Cell lengths 3.1914, 3.1914, 10.4919 Å; angles 81.25, 81.25, 60.00 degrees
Closest atoms and distances in Å follow each position.
Element x y z (fractional)
Li 0.9977 0.9977 0.0070  3 Te 2.80
Li 0.7586 0.7586 0.7242  3 Se 2.52
Te 0.2629 0.2629 0.2114  3 Li 2.80
Se 0.4809 0.4809 0.5573  3 Li 2.52

Values from the calculation:
Fermi-level density of states: 1.6 states/eV/f.u.
E_form (uncorrected): -0.2670 eV/atom
space group: R3m, No. 160
V: 91 Å³ per cell


A plane-wave DFT calculation with PBEsol was carried out for Li2TeSe after structural relaxation.

Cell lengths 3.2707, 3.2708, 8.1471 Å; angles 90.00, 90.00, 90.02 degrees
Closest atoms and distances in Å follow each position.
Element x y z (fractional)
Se 0.0000 0.0000 0.7069  5 Li 2.43-2.58
Te 0.5000 0.5000 0.2218  5 Li 2.81-2.91
Li 0.0000 0.0000 0.0047  1 Se 2.43
Li 0.5000 0.5000 0.5666  4 Se 2.58, 1 Te 2.81

Values from the calculation:
Fermi-level density of states: 1.4 states/eV/f.u.
E_form (uncorrected): -0.6993 eV/atom
space group: P4mm, No. 99
V: 87 Å³ per cell


A plane-wave DFT calculation with PBEsol was carried out for LiTeSe after structural relaxation.

Cell lengths 4.5463, 4.5463, 4.5463 Å; angles 60.00, 60.00, 60.00 degrees
Closest atoms and distances in Å follow each position.
Element x y z (fractional)
Te 0.5000 0.5000 0.5000  4 Li 2.78
Li 0.2500 0.2500 0.2500  4 Se 2.78, 4 Te 2.78
Se 0.0000 0.0000 0.0000  4 Li 2.78

Values from the calculation:
Fermi-level density of states: 1.3 states/eV/f.u.
E_form (uncorrected): -0.3288 eV/atom
space group: F-43m, No. 216
V: 66 Å³ per cell


A plane-wave DFT calculation with PBEsol was carried out for LiTiSe3 after structural relaxation.

Cell lengths 4.9211, 4.9211, 4.9211 Å; angles 90.00, 90.00, 90.00 degrees
Closest atoms and distances in Å follow each position.
Element x y z (fractional)
Li 0.5000 0.5000 0.5000  12 Se 3.48
Se 0.5000 0.0000 0.0000  2 Ti 2.46
Se 0.0000 0.5000 0.0000  2 Ti 2.46
Se 0.0000 0.0000 0.5000  2 Ti 2.46
Ti 0.0000 0.0000 0.0000  6 Se 2.46

Values from the calculation:
Fermi-level density of states: 1.3 states/eV/f.u.
E_form (uncorrected): -0.6901 eV/atom
space group: Pm-3m, No. 221
V: 119 Å³ per cell


A plane-wave DFT calculation with PBEsol was carried out for LiTl2Se after structural relaxation.

Cell lengths 4.2115, 4.2115, 6.3817 Å; angles 109.21, 109.21, 90.17 degrees
Closest atoms and distances in Å follow each position.
Element x y z (fractional)
Tl 0.5000 0.5000 0.5000  4 Tl 2.97-2.98, 2 Se 3.19, 2 Li 3.19
Tl 0.0000 0.0000 0.5000  4 Tl 2.97-2.98, 2 Li 3.19, 2 Se 3.19
Li 0.5000 0.5000 0.0000  4 Se 2.97-2.98, 4 Tl 3.19
Se 0.0000 0.0000 0.0000  4 Li 2.97-2.98, 4 Tl 3.19

Values from the calculation:
Fermi-level density of states: 1.0 states/eV/f.u.
E_form (uncorrected): -0.3044 eV/atom
space group: Fmmm, No. 69
V: 100 Å³ per cell


A plane-wave DFT calculation with PBEsol was carried out for LiTl2Se after structural relaxation.

Cell lengths 4.1755, 4.1707, 7.2158 Å; angles 73.30, 73.18, 59.96 degrees
Closest atoms and distances in Å follow each position.
Element x y z (fractional)
Tl 0.0148 0.0178 0.9526  3 Se 3.26-3.28, 3 Li 3.29-3.30, 3 Tl 3.36-3.37
Tl 0.2322 0.2378 0.2978  3 Li 3.26-3.29, 3 Se 3.27-3.30, 3 Tl 3.36-3.37
Se 0.7925 0.7875 0.6275  3 Li 2.41
Li 0.4604 0.4569 0.6222  3 Se 2.41

Values from the calculation:
Fermi-level density of states: 1.3 states/eV/f.u.
E_form (uncorrected): -0.4320 eV/atom
space group: Cm, No. 8
V: 103 Å³ per cell


A plane-wave DFT calculation with PBEsol was carried out for Li3TlSe after structural relaxation.

Cell lengths 4.8129, 4.8129, 4.8129 Å; angles 90.00, 90.00, 90.00 degrees
Closest atoms and distances in Å follow each position.
Element x y z (fractional)
Se 0.0000 0.0000 0.0000  6 Li 2.41
Li 0.0000 0.0000 0.5000  2 Se 2.41
Li 0.5000 0.0000 0.0000  2 Se 2.41
Li 0.0000 0.5000 0.0000  2 Se 2.41
Tl 0.5000 0.5000 0.5000  12 Li 3.40

Values from the calculation:
Fermi-level density of states: 2.9 states/eV/f.u.
E_form (uncorrected): -0.5511 eV/atom
space group: Pm-3m, No. 221
V: 111 Å³ per cell


A plane-wave DFT calculation with PBEsol was carried out for LiTlSe2 after structural relaxation.

Cell lengths 3.8130, 3.9166, 6.0860 Å; angles 97.35, 90.00, 90.00 degrees
Closest atoms and distances in Å follow each position.
Element x y z (fractional)
Tl 0.5000 0.5000 0.5000  2 Li 3.04, 8 Se 3.30-3.32
Se 0.0000 0.9334 0.1907  1 Se 2.44, 2 Li 2.71
Se 0.0000 0.0666 0.8093  1 Se 2.44, 2 Li 2.71
Li 0.5000 0.5000 0.0000  4 Se 2.71

Values from the calculation:
Fermi-level density of states: 1.2 states/eV/f.u.
E_form (uncorrected): -0.4816 eV/atom
space group: P2/m, No. 10
V: 90 Å³ per cell


A plane-wave DFT calculation with PBEsol was carried out for LiTl2Se after structural relaxation.

Cell lengths 4.3893, 4.3893, 5.0575 Å; angles 90.00, 90.00, 90.00 degrees
Closest atoms and distances in Å follow each position.
Element x y z (fractional)
Tl 0.5000 0.0000 0.0000  4 Tl 3.10, 4 Li 3.35, 4 Se 3.35
Tl 0.0000 0.5000 0.0000  4 Tl 3.10, 4 Se 3.35, 4 Li 3.35
Se 0.0000 0.0000 0.5000  4 Li 3.10, 8 Tl 3.35
Li 0.5000 0.5000 0.5000  4 Se 3.10, 8 Tl 3.35

Values from the calculation:
Fermi-level density of states: 0.9 states/eV/f.u.
E_form (uncorrected): -0.3788 eV/atom
space group: P4/mmm, No. 123
V: 97 Å³ per cell


A plane-wave DFT calculation with PBEsol was carried out for LiTlSe2 after structural relaxation.

Cell lengths 3.9763, 4.8636, 5.5102 Å; angles 116.19, 111.15, 90.00 degrees
Closest atoms and distances in Å follow each position.
Element x y z (fractional)
Se 0.2685 0.2685 0.5369  2 Li 2.89, 4 Tl 3.14-3.21, 4 Se 3.16
Se 0.7315 0.7315 0.4631  2 Li 2.89, 4 Tl 3.14-3.21, 4 Se 3.16
Tl 0.5000 0.0000 0.0000  8 Se 3.14-3.21, 4 Li 3.14
Li 0.0000 0.5000 0.0000  4 Se 2.89, 4 Tl 3.14

Values from the calculation:
Fermi-level density of states: 1.9 states/eV/f.u.
E_form (uncorrected): -0.2795 eV/atom
space group: Immm, No. 71
V: 88 Å³ per cell


A plane-wave DFT calculation with PBEsol was carried out for LiTl2Se after structural relaxation.

Cell lengths 3.9049, 3.9049, 6.3579 Å; angles 90.00, 90.00, 90.03 degrees
Closest atoms and distances in Å follow each position.
Element x y z (fractional)
Se 0.5000 0.5000 0.0000  8 Tl 3.17, 2 Li 3.18
Tl 0.0000 0.0000 0.2435  2 Tl 3.10-3.26, 4 Se 3.17, 4 Li 3.21
Tl 0.0000 0.0000 0.7565  2 Tl 3.10-3.26, 4 Se 3.17, 4 Li 3.21
Li 0.5000 0.5000 0.5000  2 Se 3.18, 8 Tl 3.21

Values from the calculation:
Fermi-level density of states: 1.4 states/eV/f.u.
E_form (uncorrected): -0.2653 eV/atom
space group: P4/mmm, No. 123
V: 97 Å³ per cell


A plane-wave DFT calculation with PBEsol was carried out for LiTl2Se after structural relaxation.

Cell lengths 3.8289, 3.8289, 8.1104 Å; angles 76.35, 76.35, 60.00 degrees
Closest atoms and distances in Å follow each position.
Element x y z (fractional)
Tl 0.7480 0.7480 0.7560  3 Se 2.92, 3 Li 2.98
Tl 0.2520 0.2520 0.2440  3 Se 2.92, 3 Li 2.98
Li 0.5000 0.5000 0.5000  6 Tl 2.98
Se 0.0000 0.0000 0.0000  6 Tl 2.92

Values from the calculation:
Fermi-level density of states: 0.9 states/eV/f.u.
E_form (uncorrected): -0.2615 eV/atom
space group: R-3m, No. 166
V: 99 Å³ per cell


A plane-wave DFT calculation with PBEsol was carried out for LiVSe2 after structural relaxation.

Cell lengths 3.6322, 3.6322, 6.1898 Å; angles 90.00, 90.00, 120.00 degrees
Closest atoms and distances in Å follow each position.
Element x y z (fractional)
Li 0.0000 0.0000 0.5000  6 Se 2.67
Se 0.3333 0.6667 0.2323  3 V 2.54, 3 Li 2.67
Se 0.6667 0.3333 0.7677  3 V 2.54, 3 Li 2.67
V 0.0000 0.0000 0.0000  6 Se 2.54

Values from the calculation:
Fermi-level density of states: 4.9 states/eV/f.u.
E_form (uncorrected): -0.9063 eV/atom
space group: P-3m1, No. 164
V: 71 Å³ per cell


A plane-wave DFT calculation with PBEsol was carried out for Li2WSe after structural relaxation.

Cell lengths 2.6213, 4.6039, 5.1479 Å; angles 90.00, 89.95, 90.00 degrees
Closest atoms and distances in Å follow each position.
Element x y z (fractional)
Li 0.8743 0.0000 0.9872  4 Li 2.62-2.66, 2 Se 2.72, 4 W 2.93
Li 0.8741 0.5000 0.2451  4 Li 2.62-2.66, 4 W 2.88-2.89
Se 0.3763 0.0000 0.5238  2 W 2.57, 2 Se 2.62, 2 Li 2.72
W 0.3753 0.5000 0.7439  2 Se 2.57, 2 W 2.62

Values from the calculation:
Fermi-level density of states: 2.4 states/eV/f.u.
E_form (uncorrected): 0.1810 eV/atom
space group: Pm, No. 6
V: 62 Å³ per cell


A plane-wave DFT calculation with PBEsol was carried out for Li2WSe after structural relaxation.

Cell lengths 3.4206, 3.4206, 4.9177 Å; angles 90.00, 90.00, 90.00 degrees
Closest atoms and distances in Å follow each position.
Element x y z (fractional)
Se 0.5000 0.5000 0.0000  2 W 2.46, 8 Li 2.70
W 0.5000 0.5000 0.5000  2 Se 2.46, 8 Li 2.73
Li 0.0000 0.0000 0.7576  2 Li 2.38-2.53
Li 0.0000 0.0000 0.2424  2 Li 2.38-2.53

Values from the calculation:
Fermi-level density of states: 2.4 states/eV/f.u.
E_form (uncorrected): 0.1769 eV/atom
space group: P4/mmm, No. 123
V: 58 Å³ per cell


A plane-wave DFT calculation with PBEsol was carried out for LiWSe2 after structural relaxation.

Cell lengths 3.3056, 3.3056, 6.5627 Å; angles 90.00, 90.00, 90.00 degrees
Closest atoms and distances in Å follow each position.
Element x y z (fractional)
Se 0.5000 0.5000 0.3373  4 W 2.60, 1 Li 2.87
Se 0.0000 0.0000 0.8787  1 W 2.42, 4 Li 2.44
W 0.0000 0.0000 0.5100  5 Se 2.42-2.60
Li 0.5000 0.5000 0.7740  4 Se 2.44

Values from the calculation:
Fermi-level density of states: 2.4 states/eV/f.u.
E_form (uncorrected): -0.1972 eV/atom
space group: P4mm, No. 99
V: 72 Å³ per cell


A plane-wave DFT calculation with PBEsol was carried out for LiWSe2 after structural relaxation.

Cell lengths 3.1258, 3.1258, 6.6942 Å; angles 90.00, 90.00, 90.00 degrees
Closest atoms and distances in Å follow each position.
Element x y z (fractional)
Se 0.0000 0.0000 0.7735  4 W 2.68, 4 Li 2.87
Se 0.0000 0.0000 0.2265  4 W 2.68, 4 Li 2.87
W 0.5000 0.5000 0.0000  8 Se 2.68
Li 0.5000 0.5000 0.5000  8 Se 2.87, 4 Li 3.13

Values from the calculation:
Fermi-level density of states: 1.4 states/eV/f.u.
E_form (uncorrected): -0.3623 eV/atom
space group: P4/mmm, No. 123
V: 65 Å³ per cell